A plane-wave DFT calculation with PBE-GGA was carried out for a relaxed structure of ZrCu.

Results
SG: No. 164
VASP energy, eV per atom: -6.12
Formation energy from the elements, eV/atom: 0.200

Unit cell a=4.753 b=4.753 c=10.950 alpha=90.00 beta=90.00 gamma=120.00
Element x y z (fractional)
Zr: 0.000 0.000 0.146
Zr: 0.000 0.000 0.854
Zr: 0.333 0.667 0.126
Zr: 0.333 0.667 0.417
Zr: 0.667 0.333 0.583
Zr: 0.667 0.333 0.874
Cu: 0.000 0.000 0.388
Cu: 0.000 0.000 0.612
Cu: 0.333 0.667 0.669
Cu: 0.333 0.667 0.889
Cu: 0.667 0.333 0.111
Cu: 0.667 0.333 0.331